No. 1
Density functional theory data (PBE) for crystalline Ti5Mn4Ag at its relaxed geometry.

For the volume, the calculation gives 14.2 Å³/atom. As for the total magnetization: 0.15 μB/atom. The calculation puts the total energy at -81.1 eV per cell.

The structure belongs to space group P4/mmm (No. 123); the cell edges are 2.9909, 2.9909 and 15.8330 Å and the angles 90.00°, 90.00° and 90.00°. The asymmetric unit holds Ti at (0.0000, 0.0000, 0.0000), Ti at (0.0000, 0.0000, 0.1886), Ti at (0.0000, 0.0000, 0.3710), Mn at (0.5000, 0.5000, 0.0942), Mn at (0.5000, 0.5000, 0.2860) and Ag at (0.5000, 0.5000, 0.5000).

=====

No. 2
Density functional theory data (PBE) for crystalline Sc4GaIrO at its relaxed geometry.

For the volume, the calculation gives 18.3 Å³/atom. As for the total magnetization: 0.00 μB/atom. For the raw formation energy, the calculation gives -1.24 eV per atom.

The structure belongs to space group Cmcm (No. 63); the cell edges are 6.0176, 14.1089 and 6.0190 Å and the angles 90.00°, 90.00° and 90.00°. The asymmetric unit holds Sc at (0.0000, 0.0642, 0.2500), Sc at (0.0000, 0.4194, 0.2500), Sc at (0.2500, 0.2500, 0.0000), Ga at (0.0000, 0.3853, 0.7500), Ir at (0.0000, 0.1187, 0.7500) and O at (0.0000, 0.2558, 0.2500).

=====

No. 3
Density functional theory data (PBE) for crystalline Pr3Sm4Tm2 at its relaxed geometry.

For the volume, the calculation gives 33.7 Å³/atom. As for the total magnetization: 0.00 μB/atom. The calculation puts the total energy at -83.9 eV per cell.

The structure belongs to space group C2/m (No. 12); the cell edges are 15.4053, 5.1314 and 8.0936 Å and the angles 90.00°, 108.62° and 90.00°. The asymmetric unit holds Pr at (0.0000, 0.0000, 0.0000), Pr at (0.1120, 0.0000, 0.6672), Sm at (0.0560, 0.5000, 0.3313), Sm at (0.2216, 0.0000, 0.3299) and Tm at (0.1682, 0.5000, 0.0000).

=====

No. 4
Density functional theory data (PBE) for crystalline Na2B2Pd5Pb at its relaxed geometry.

For the volume, the calculation gives 15.8 Å³/atom. As for the total magnetization: 0.00 μB/atom. The calculation puts the total energy at -96.0 eV per cell.

The structure belongs to space group P4/mbm (No. 127); the cell edges are 10.1130, 10.1130 and 3.0963 Å and the angles 90.00°, 90.00° and 90.00°. The asymmetric unit holds Na at (0.1791, 0.3209, 0.0000), B at (0.1195, 0.6195, 0.0000), Pd at (0.0000, 0.5000, 0.5000), Pd at (0.0687, 0.7637, 0.5000) and Pb at (0.0000, 0.0000, 0.0000).

=====

No. 5
Density functional theory data (PBE) for crystalline KRbOs2O8 at its relaxed geometry.

For the volume, the calculation gives 21.7 Å³/atom. As for the total magnetization: 0.17 μB/atom. For the raw formation energy, the calculation gives -1.27 eV per atom.

The structure belongs to space group I-4m2 (No. 119); the cell edges are 8.3001, 8.3001 and 7.5486 Å and the angles 90.00°, 90.00° and 90.00°. The asymmetric unit holds K at (0.0000, 0.0000, 0.0000), Rb at (0.0000, 0.5000, 0.7500), Os at (0.0000, 0.0000, 0.5000), Os at (0.0000, 0.5000, 0.2500), O at (0.0000, 0.1701, 0.6402) and O at (0.0000, 0.3275, 0.1128).

=====

No. 6
Density functional theory data (PBE) for crystalline PmSm2HoSe6 at its relaxed geometry.

For the volume, the calculation gives 30.6 Å³/atom. As for the total magnetization: 0.00 μB/atom. For the raw formation energy, the calculation gives -1.84 eV per atom.

The structure belongs to space group R3 (No. 146, hexagonal axes); the cell edges are 7.3435, 7.3435 and 19.6656 Å and the angles 90.00°, 90.00° and 120.00°. The asymmetric unit holds Pm at (0.0000, 0.0000, 0.0000), Sm at (0.0000, 0.0000, 0.2980), Sm at (0.0000, 0.0000, 0.8003), Ho at (0.0000, 0.0000, 0.4969), Se at (0.0001, 0.7020, 0.4006) and Se at (0.0329, 0.3552, 0.5663).

=====

No. 7
Density functional theory data (PBE) for crystalline CaAsSe2 at its relaxed geometry.

For the volume, the calculation gives 25.6 Å³/atom. As for the total magnetization: 0.00 μB/atom. For the raw formation energy, the calculation gives -0.91 eV per atom.

The structure belongs to space group Pm (No. 6); the cell edges are 4.0731, 4.3037 and 5.8394 Å and the angles 90.00°, 90.17° and 90.00°. The asymmetric unit holds Ca at (0.0000, 0.0000, 0.0000), As at (0.4556, 0.5000, 0.5006), Se at (0.1029, 0.0000, 0.5000) and Se at (0.4979, 0.5000, 0.0000).

=====

No. 8
Density functional theory data (PBE) for crystalline Ta2TlRe at its relaxed geometry.

For the volume, the calculation gives 19.3 Å³/atom. As for the total magnetization: 0.00 μB/atom. The calculation puts the total energy at -111.1 eV per cell.

The structure belongs to space group R-3m (No. 166, hexagonal axes); the cell edges are 3.1612, 3.1612 and 26.7097 Å and the angles 90.00°, 90.00° and 120.00°. The asymmetric unit holds Ta at (0.0000, 0.0000, 0.2397), Tl at (0.0000, 0.0000, 0.0000) and Re at (0.0000, 0.0000, 0.5000).

=====

No. 9
Density functional theory data (PBE) for crystalline TcCl at its relaxed geometry.

For the volume, the calculation gives 15.7 Å³/atom. As for the total magnetization: 0.00 μB/atom. For the raw formation energy, the calculation gives 0.78 eV per atom.

The structure belongs to space group I4_1/amd (No. 141, origin choice 2); the cell edges are 5.0005, 5.0005 and 5.0149 Å and the angles 90.00°, 90.00° and 90.00°. The asymmetric unit holds Tc at (0.0000, 0.2500, 0.3750) and Cl at (0.0000, 0.2500, 0.8750).

=====

No. 10
Density functional theory data (PBE) for crystalline TlRuRh at its relaxed geometry.

For the volume, the calculation gives 17.1 Å³/atom. As for the total magnetization: 0.00 μB/atom. The calculation puts the total energy at -17.6 eV per cell.

The structure belongs to space group P3m1 (No. 156); the cell edges are 2.9662, 2.9662 and 6.7319 Å and the angles 90.00°, 90.00° and 120.00°. The asymmetric unit holds Tl at (0.0000, 0.0000, 0.0000), Ru at (0.3333, 0.6667, 0.6455) and Rh at (0.6667, 0.3333, 0.3520).

=====

No. 11
Density functional theory data (PBE) for crystalline TaTiMo2 at its relaxed geometry.

For the volume, the calculation gives 17.6 Å³/atom. As for the total magnetization: 0.00 μB/atom. The calculation puts the total energy at -77.7 eV per cell.

The structure belongs to space group Immm (No. 71); the cell edges are 2.8066, 4.7893 and 10.4828 Å and the angles 90.00°, 90.00° and 90.00°. The asymmetric unit holds Ta at (0.0000, 0.0000, 0.0000), Ti at (0.0000, 0.0000, 0.5000) and Mo at (0.0000, 0.0000, 0.2532).

=====

No. 12
Density functional theory data (PBE) for crystalline KZn2Ni2 at its relaxed geometry.

For the volume, the calculation gives 15.9 Å³/atom. As for the total magnetization: 0.00 μB/atom. The calculation puts the total energy at -29.2 eV per cell.

The structure belongs to space group P4/mbm (No. 127); the cell edges are 7.6906, 7.6906 and 2.6859 Å and the angles 90.00°, 90.00° and 90.00°. The asymmetric unit holds K at (0.0000, 0.0000, 0.0000), Zn at (0.1644, 0.3356, 0.5000) and Ni at (0.1209, 0.6209, 0.0000).

=====

No. 13
Density functional theory data (PBE) for crystalline Ca2TaCrSn at its relaxed geometry.

For the volume, the calculation gives 33.9 Å³/atom. As for the total magnetization: 0.22 μB/atom. The calculation puts the total energy at -21.6 eV per cell.

The structure belongs to space group P4/mmm (No. 123); the cell edges are 5.6818, 5.6818 and 5.2515 Å and the angles 90.00°, 90.00° and 90.00°. The asymmetric unit holds Ca at (0.0000, 0.5000, 0.0000), Ta at (0.0000, 0.0000, 0.5000), Cr at (0.5000, 0.5000, 0.5000) and Sn at (0.0000, 0.0000, 0.0000).

=====

No. 14
Density functional theory data (PBE) for crystalline MgScIr2 at its relaxed geometry.

For the volume, the calculation gives 16.5 Å³/atom. As for the total magnetization: 0.03 μB/atom. The calculation puts the total energy at -107.0 eV per cell.

The structure belongs to space group F-43m (No. 216); the cell edges are 6.4141, 6.4141 and 6.4141 Å and the angles 90.00°, 90.00° and 90.00°. The asymmetric unit holds Mg at (0.0000, 0.0000, 0.0000), Sc at (0.2500, 0.2500, 0.7500), Ir at (0.0000, 0.0000, 0.5000) and Ir at (0.2500, 0.2500, 0.2500).

=====

No. 15
Density functional theory data (PBE) for crystalline LaZn2Co2 at its relaxed geometry.

For the volume, the calculation gives 18.2 Å³/atom. As for the total magnetization: 0.29 μB/atom. The calculation puts the total energy at -44.9 eV per cell.

The structure belongs to space group C2/m (No. 12); the cell edges are 9.8937, 4.0307 and 4.7305 Å and the angles 90.00°, 105.10° and 90.00°. The asymmetric unit holds La at (0.0000, 0.0000, 0.0000), Zn at (0.1623, 0.5000, 0.5682) and Co at (0.2410, 0.5000, 0.1108).

=====

No. 16
Density functional theory data (PBE) for crystalline ZnReIr at its relaxed geometry.

For the volume, the calculation gives 14.6 Å³/atom. As for the total magnetization: 0.00 μB/atom. The calculation puts the total energy at -22.6 eV per cell.

The structure belongs to space group P3m1 (No. 156); the cell edges are 2.7517, 2.7517 and 6.6933 Å and the angles 90.00°, 90.00° and 120.00°. The asymmetric unit holds Zn at (0.0000, 0.0000, 0.0000), Re at (0.3333, 0.6667, 0.6579) and Ir at (0.6667, 0.3333, 0.3365).

=====

No. 17
Density functional theory data (PBE) for crystalline Cs2POsCl6 at its relaxed geometry.

For the volume, the calculation gives 29.1 Å³/atom. As for the total magnetization: 0.22 μB/atom. For the raw formation energy, the calculation gives -0.73 eV per atom.

The structure belongs to space group I4/mmm (No. 139); the cell edges are 6.9906, 6.9906 and 11.8950 Å and the angles 90.00°, 90.00° and 90.00°. The asymmetric unit holds Cs at (0.0000, 0.5000, 0.2500), P at (0.0000, 0.0000, 0.0000), Os at (0.0000, 0.0000, 0.5000), Cl at (0.0000, 0.0000, 0.3000) and Cl at (0.2464, 0.2464, 0.5000).

=====

No. 18
Density functional theory data (PBE) for crystalline K2ZnBi at its relaxed geometry.

For the volume, the calculation gives 36.4 Å³/atom. As for the total magnetization: 0.00 μB/atom. The calculation puts the total energy at -29.9 eV per cell.

The structure belongs to space group Fm-3m (No. 225); the cell edges are 8.3531, 8.3531 and 8.3531 Å and the angles 90.00°, 90.00° and 90.00°. The asymmetric unit holds K at (0.2500, 0.2500, 0.2500), Zn at (0.0000, 0.0000, 0.0000) and Bi at (0.0000, 0.0000, 0.5000).

=====

No. 19
Density functional theory data (PBE) for crystalline Tb3Nd2Tm2 at its relaxed geometry.

For the volume, the calculation gives 32.8 Å³/atom. As for the total magnetization: 0.00 μB/atom. The calculation puts the total energy at -63.0 eV per cell.

The structure belongs to space group C2/m (No. 12); the cell edges are 17.5356, 3.5097 and 8.5456 Å and the angles 90.00°, 119.04° and 90.00°. The asymmetric unit holds Tb at (0.0000, 0.0000, 0.0000), Tb at (0.2115, 0.0000, 0.1261), Nd at (0.0665, 0.5000, 0.7197) and Tm at (0.1504, 0.0000, 0.4659).

=====

No. 20
Density functional theory data (PBE) for crystalline Y3Th3Tl2Tc at its relaxed geometry.

For the volume, the calculation gives 28.7 Å³/atom. As for the total magnetization: 0.00 μB/atom. The calculation puts the total energy at -58.9 eV per cell.

The structure belongs to space group P-62m (No. 189); the cell edges are 8.7930, 8.7930 and 3.8639 Å and the angles 90.00°, 90.00° and 120.00°. The asymmetric unit holds Y at (0.0000, 0.6023, 0.0000), Th at (0.0000, 0.2428, 0.5000), Tl at (0.3333, 0.6667, 0.5000) and Tc at (0.0000, 0.0000, 0.0000).